# 1
The following is a GGA-PBE calculation of a relaxed structure of LaTlCo3, from the Alexandria database.

Cell lengths 4.692, 4.692, 4.692 Å; angles 90.00, 90.00, 90.00 degrees
Atoms (fractional coordinates):
Tl: 0.500 0.500 0.500
Co: 0.000 0.500 0.000
Co: 0.000 0.000 0.500
Co: 0.500 0.000 0.000
La: 0.000 0.000 0.000

Formation energy from the elements ... 1368 meV/atom
Size of the total moment ... 1.38 μB per formula unit

# 2
The following is a GGA-PBE calculation of a relaxed structure of La12Tl6Co, from the Alexandria database.

Cell lengths 8.683, 8.683, 8.683 Å; angles 94.52, 94.52, 94.52 degrees
Atoms (fractional coordinates):
La: 0.807 0.575 0.459
La: 0.459 0.807 0.575
La: 0.575 0.459 0.807
La: 0.193 0.425 0.541
La: 0.541 0.193 0.425
La: 0.425 0.541 0.193
La: 0.984 0.077 0.313
La: 0.923 0.687 0.016
La: 0.687 0.016 0.923
La: 0.016 0.923 0.687
La: 0.077 0.313 0.984
La: 0.313 0.984 0.077
Tl: 0.659 0.855 0.267
Tl: 0.733 0.341 0.145
Tl: 0.145 0.733 0.341
Tl: 0.341 0.145 0.733
Tl: 0.267 0.659 0.855
Tl: 0.855 0.267 0.659
Co: 0.000 0.000 0.000

Formation energy from the elements ... -210 meV/atom
Size of the total moment ... 0.00 μB per formula unit

# 3
The following is a GGA-PBE calculation of a relaxed structure of La8Tl2Co, from the Alexandria database.

Cell lengths 5.685, 6.941, 9.772 Å; angles 110.43, 106.91, 90.00 degrees
Atoms (fractional coordinates):
La: 0.412 0.614 0.824
La: 0.643 0.922 0.286
La: 0.787 0.754 0.574
La: 0.997 0.214 0.995
La: 0.213 0.246 0.426
La: 0.357 0.078 0.714
La: 0.588 0.386 0.176
La: 0.003 0.786 0.005
Tl: 0.827 0.315 0.653
Tl: 0.173 0.685 0.347
Co: 0.500 0.000 0.000

Formation energy from the elements ... -192 meV/atom
Size of the total moment ... 0.00 μB per formula unit